## LiCd2Hg (PBE)

Data for a relaxed LiCd2Hg crystal.

Properties
E ... -1.142 eV/atom
Formation energy ... -0.131 eV per atom
M_tot ... 0.0 μB/cell
Symmetry ... C2/m, No. 12

abc: 6.150 6.150 3.085
angles: 104.30 104.30 121.10
Sites, in units of the cell vectors:
1 Li 0.000 0.000 0.000
2 Cd 0.000 0.500 0.500
3 Cd 0.500 0.000 0.500
4 Hg 0.500 0.500 0.000

***

## Li3Cd3Hg (PBE)

Data for a relaxed Li3Cd3Hg crystal.

Properties
E ... -1.436 eV/atom
Formation energy ... -0.181 eV per atom
M_tot ... 0.0 μB/cell
Symmetry ... P2_13, No. 198

abc: 8.301 8.301 8.301
angles: 90.00 90.00 90.00
Sites, in units of the cell vectors:
1 Li 0.030 0.310 0.862
2 Li 0.138 0.530 0.190
3 Li 0.190 0.138 0.530
4 Li 0.310 0.862 0.030
5 Li 0.362 0.470 0.690
6 Li 0.470 0.690 0.362
7 Li 0.530 0.190 0.138
8 Li 0.638 0.970 0.810
9 Li 0.690 0.362 0.470
10 Li 0.810 0.638 0.970
11 Li 0.862 0.030 0.310
12 Li 0.970 0.810 0.638
13 Cd 0.041 0.459 0.541
14 Cd 0.155 0.845 0.345
15 Cd 0.164 0.164 0.164
16 Cd 0.336 0.836 0.664
17 Cd 0.345 0.155 0.845
18 Cd 0.459 0.541 0.041
19 Cd 0.541 0.041 0.459
20 Cd 0.655 0.655 0.655
21 Cd 0.664 0.336 0.836
22 Cd 0.836 0.664 0.336
23 Cd 0.845 0.345 0.155
24 Cd 0.959 0.959 0.959
25 Hg 0.128 0.628 0.872
26 Hg 0.372 0.372 0.372
27 Hg 0.628 0.872 0.128
28 Hg 0.872 0.128 0.628

***

## Li3Cd2Hg8 (PBE)

Data for a relaxed Li3Cd2Hg8 crystal.

Properties
E above lowest polymorph ... 25 meV/atom
E ... -0.889 eV/atom
Formation energy ... -0.121 eV per atom
M_tot ... 0.0 μB/cell
Symmetry ... C2/m, No. 12

abc: 7.532 7.532 5.983
angles: 96.55 96.55 66.53
Sites, in units of the cell vectors:
1 Li 0.000 0.000 0.000
2 Li 0.180 0.820 0.500
3 Li 0.820 0.180 0.500
4 Cd 0.203 0.203 0.821
5 Cd 0.797 0.797 0.179
6 Hg 0.174 0.174 0.325
7 Hg 0.203 0.579 0.092
8 Hg 0.399 0.399 0.604
9 Hg 0.421 0.797 0.908
10 Hg 0.579 0.203 0.092
11 Hg 0.601 0.601 0.396
12 Hg 0.797 0.421 0.908
13 Hg 0.826 0.826 0.675

***

## LiCd4Hg9 (PBE)

Data for a relaxed LiCd4Hg9 crystal.

Properties
E ... -0.624 eV/atom
Formation energy ... -0.032 eV per atom
M_tot ... 0.0 μB/cell
Symmetry ... P-1, No. 2

abc: 8.297 8.331 11.282
angles: 89.79 89.91 60.63
Sites, in units of the cell vectors:
1 Li 0.163 0.167 0.248
2 Li 0.837 0.833 0.752
3 Cd 0.270 0.559 0.751
4 Cd 0.312 0.715 0.249
5 Cd 0.402 0.121 0.751
6 Cd 0.500 0.500 0.000
7 Cd 0.500 0.500 0.500
8 Cd 0.598 0.879 0.249
9 Cd 0.688 0.285 0.751
10 Cd 0.730 0.441 0.249
11 Hg 0.015 0.576 0.251
12 Hg 0.075 0.769 0.521
13 Hg 0.075 0.774 0.980
14 Hg 0.098 0.000 0.748
15 Hg 0.226 0.346 0.006
16 Hg 0.231 0.341 0.494
17 Hg 0.343 0.927 0.470
18 Hg 0.346 0.928 0.026
19 Hg 0.452 0.289 0.250
20 Hg 0.548 0.711 0.750
21 Hg 0.654 0.072 0.974
22 Hg 0.657 0.073 0.530
23 Hg 0.769 0.659 0.506
24 Hg 0.774 0.654 0.994
25 Hg 0.902 0.000 0.252
26 Hg 0.925 0.226 0.020
27 Hg 0.925 0.231 0.479
28 Hg 0.985 0.424 0.749

***

## Li14CdHg (PBE)

Data for a relaxed Li14CdHg crystal.

Properties
E ... -1.859 eV/atom
Formation energy ... -0.109 eV per atom
M_tot ... 0.0 μB/cell
Symmetry ... P4/mmm, No. 123

abc: 6.083 6.083 8.226
angles: 90.00 90.00 90.00
Sites, in units of the cell vectors:
1 Li 0.000 0.000 0.000
2 Li 0.000 0.500 0.000
3 Li 0.000 0.500 0.500
4 Li 0.248 0.248 0.262
5 Li 0.248 0.248 0.738
6 Li 0.248 0.752 0.262
7 Li 0.248 0.752 0.738
8 Li 0.500 0.000 0.000
9 Li 0.500 0.000 0.500
10 Li 0.500 0.500 0.000
11 Li 0.752 0.248 0.262
12 Li 0.752 0.248 0.738
13 Li 0.752 0.752 0.262
14 Li 0.752 0.752 0.738
15 Cd 0.500 0.500 0.500
16 Hg 0.000 0.000 0.500

***

## Li3Cd4Hg (PBE)

Data for a relaxed Li3Cd4Hg crystal.

Properties
E above lowest polymorph ... 47 meV/atom
E ... -1.380 eV/atom
Formation energy ... -0.167 eV per atom
M_tot ... 0.0 μB/cell
Symmetry ... P-1, No. 2

abc: 3.129 4.463 12.062
angles: 96.34 96.46 90.16
Sites, in units of the cell vectors:
1 Li 0.000 0.000 0.000
2 Li 0.142 0.677 0.306
3 Li 0.858 0.323 0.694
4 Cd 0.285 0.770 0.561
5 Cd 0.410 0.872 0.805
6 Cd 0.590 0.128 0.195
7 Cd 0.715 0.230 0.439
8 Hg 0.500 0.500 0.000